1.
DFT (PBE) results for a relaxed structure of Tl2CdAgI.

Values from the calculation:
The value obtained for the raw formation energy is -0.080 eV/atom. As for the density: 7.1 g cm⁻³. For the calculated volume, the calculation gives 175.7 Å³/cell. The calculation puts the total energy at -2.0901 eV per atom.

a = 5.7198 Å, b = 5.7198 Å, c = 5.3693 Å
α = 90.00°, β = 90.00°, γ = 90.00°
Element x y z (fractional)
Tl 0.5000 0.0000 0.0000
Ag 0.0000 0.0000 0.0000
Cd 0.0000 0.0000 0.5000
Tl 0.0000 0.5000 0.0000
I 0.5000 0.5000 0.5000

***

2.
DFT (PBE) results for a relaxed structure of K2Ga4Ag5.

Values from the calculation:
For the excess energy over the best structure of this formula in the dataset, the calculation gives 0.000 eV/atom. As for the energy relative to the elements: -56 meV/atom. As for the density: 5.7 g cm⁻³. For the calculated volume, the calculation gives 260.8 Å³/cell. The calculation puts the total energy at -2.6518 eV per atom.

a = 6.0445 Å, b = 6.1374 Å, c = 8.6245 Å
α = 80.06°, β = 69.49°, γ = 60.50°
Element x y z (fractional)
K 0.1379 0.0000 0.7242
Ag 0.5000 0.5000 0.0000
Ga 0.4655 0.3231 0.7460
Ag 0.0000 0.5000 0.0000
Ag 0.5000 0.0000 0.0000
Ag 0.2500 0.5000 0.5000
K 0.8621 0.0000 0.2758
Ga 0.7886 0.6769 0.7460
Ga 0.2114 0.3231 0.2540
Ga 0.5345 0.6769 0.2540
Ag 0.7500 0.5000 0.5000

***

3.
DFT (PBE) results for a relaxed structure of SrAcMgCd.

Values from the calculation:
As for the energy relative to the elements: -190 meV/atom. As for the density: 5.4 g cm⁻³. For the calculated volume, the calculation gives 138.9 Å³/cell. The calculation puts the total energy at -2.2647 eV per atom.

a = 4.1260 Å, b = 4.1260 Å, c = 8.1586 Å
α = 90.00°, β = 90.00°, γ = 90.00°
Element x y z (fractional)
Mg 0.5000 0.5000 0.1115
Sr 0.0000 0.0000 0.8508
Cd 0.5000 0.5000 0.6028
Ac 0.0000 0.0000 0.3629

***

4.
DFT (PBE) results for a relaxed structure of BaCo2Re.

Values from the calculation:
For the excess energy over the best structure of this formula in the dataset, the calculation gives 0.706 eV/atom. As for the energy relative to the elements: 1061 meV/atom. As for the density: 8.5 g cm⁻³. For the calculated volume, the calculation gives 86.3 Å³/cell. The calculation puts the total energy at -6.0850 eV per atom.

a = 5.5252 Å, b = 5.5252 Å, c = 5.5252 Å
α = 144.12°, β = 117.05°, γ = 74.63°
Element x y z (fractional)
Ba 0.2500 0.7500 0.5000
Co 0.9277 0.9277 0.0000
Re 0.7500 0.2500 0.5000
Co 0.5723 0.5723 0.0000

***

5.
DFT (PBE) results for a relaxed structure of MoOsSe.

Values from the calculation:
The value obtained for the raw formation energy is 0.485 eV/atom. For the excess energy over the best structure of this formula in the dataset, the calculation gives 0.284 eV/atom. As for the density: 12.9 g cm⁻³. For the calculated volume, the calculation gives 46.9 Å³/cell. The calculation puts the total energy at -8.0301 eV per atom.

a = 4.6383 Å, b = 4.6383 Å, c = 4.6383 Å
α = 142.45°, β = 128.58°, γ = 65.39°
Element x y z (fractional)
Os 0.3406 0.3406 0.0000
Se 0.6654 0.6654 0.0000
Mo 0.9940 0.9940 0.0000

***

6.
DFT (PBE) results for a relaxed structure of VTe2WN.

Values from the calculation:
The value obtained for the raw formation energy is 0.527 eV/atom. For the excess energy over the best structure of this formula in the dataset, the calculation gives 0.000 eV/atom. As for the density: 7.4 g cm⁻³. For the calculated volume, the calculation gives 113.0 Å³/cell. The calculation puts the total energy at -6.8095 eV per atom.

a = 5.4578 Å, b = 5.4578 Å, c = 3.7946 Å
α = 90.00°, β = 90.00°, γ = 90.00°
Last column: magnetic moment on the atom in μB.
Element x y z (fractional)
N 0.0000 0.0000 0.5000  -0.07
W 0.0000 0.0000 0.0000  0.51
V 0.5000 0.5000 0.5000  2.89
Te 0.5000 0.0000 0.0000  -0.12
Te 0.0000 0.5000 0.0000  -0.12